Entry from the Alexandria database: crystalline Co2BiIrO8 at its relaxed geometry (GGA+U).

Cell lengths 6.506, 6.506, 6.919 Å; angles 90.00, 90.00, 90.00 degrees
Space group I-4m2 (No. 119)
One atom of each set of equivalent atoms:
Co: 0.000 0.000 0.000 [2 per cell]
Co: 0.000 0.500 0.250 [2 per cell]
Bi: 0.000 0.500 0.750 [2 per cell]
Ir: 0.000 0.000 0.500 [2 per cell]
O: 0.000 0.172 0.793 [8 per cell]
O: 0.000 0.294 0.449 [8 per cell]

Values from the calculation:
* DOS(E_F): 12.201 states/eV/cell
* crystal system: tetragonal
* energy: -0.211 hartree per atom
* total moment: 10.27 μB per cell